{
  "formula": "ScVN2F",
  "functional": "PBE with a Hubbard U",
  "state": "optimized geometry",
  "lattice": [[4.145, 0.000, 0.000], [0.000, 4.145, 0.000], [0.000, 0.000, 3.920]],
  "species": ["Sc", "V", "N", "N", "F"],
  "fractional_positions": [[0.000, 0.000, 0.000], [0.500, 0.500, 0.500], [0.000, 0.500, 0.000], [0.500, 0.000, 0.000], [0.000, 0.000, 0.500]],
  "crystal_system": "tetragonal",
  "dos_at_fermi_per_ev_cell": 2.14,
  "dft_energy_ev_per_atom": -6.814,
  "sg": "No. 123",
  "rho_g_cm3": 3.52
}